Record 1
Material: SbAsPd
Method: DFT, PBE
State: optimized geometry

Cell and atoms, written as POSCAR:
```
SbAsPd
1.0
6.300 0.000 0.000
0.000 6.300 0.000
0.000 0.000 6.300
Sb As Pd
4 4 4
Cartesian
0.748 0.748 0.748
2.402 5.551 3.898
3.898 2.402 5.551
5.551 3.898 2.402
0.792 2.358 3.942
2.358 3.942 0.792
3.942 0.792 2.358
5.508 5.508 5.508
0.058 3.207 6.242
3.092 3.092 3.092
3.207 6.242 0.058
6.242 0.058 3.207
```

Properties
V	20.83	Å³ per atom
SG	P2_13, No. 198
energy above the most stable polymorph in this dataset	0	meV/atom
E_tot	-4.98	eV/atom

---

Record 2
Material: SbAsPd
Method: DFT, PBE
State: optimized geometry

Cell and atoms, written as POSCAR:
```
SbAsPd
1.0
7.867 0.000 0.000
0.000 3.676 0.000
0.000 0.000 8.305
Sb As Pd
4 4 4
Cartesian
0.617 0.919 1.291
3.316 2.757 5.443
4.551 0.919 2.861
7.249 2.757 7.014
0.977 0.919 4.292
2.956 2.757 0.140
4.910 0.919 8.165
6.890 2.757 4.013
1.458 0.919 6.913
2.476 2.757 2.760
5.391 0.919 5.544
6.409 2.757 1.392
```

Properties
V	20.01	Å³ per atom
SG	Pnma, No. 62
energy above the most stable polymorph in this dataset	173	meV/atom
E_tot	-4.81	eV/atom

---

Record 3
Material: SbAsPd
Method: DFT, PBE
State: optimized geometry

Cell and atoms, written as POSCAR:
```
SbAsPd
1.0
6.379 0.000 0.000
0.000 6.379 0.000
0.000 0.000 6.379
Sb As Pd
4 4 4
Cartesian
0.000 0.000 0.000
0.000 3.189 3.189
3.189 0.000 3.189
3.189 3.189 0.000
0.000 0.000 3.189
0.000 3.189 0.000
3.189 0.000 0.000
3.189 3.189 3.189
1.595 1.595 4.784
1.595 4.784 1.595
4.784 1.595 1.595
4.784 4.784 4.784
```

Properties
V	21.63	Å³ per atom
SG	F-43m, No. 216
energy above the most stable polymorph in this dataset	83	meV/atom
E_tot	-4.90	eV/atom

---

Which value of energy above the most stable polymorph in this dataset does entry 3 give?
83 meV/atom